DFT (GGA-PBE) results for Pm4ZnHgO after structural relaxation.

Lattice parameters (Å, degrees): 8.2942 8.2942 6.9238 90.00 90.00 130.78
Fractional positions:
Pm1 0.0000 0.5000 0.0000
Pm2 0.0000 0.5000 0.5000
Pm3 0.0667 0.9333 0.7500
Pm4 0.4252 0.5748 0.7500
Pm5 0.5000 0.0000 0.0000
Pm6 0.5000 0.0000 0.5000
Pm7 0.5748 0.4252 0.2500
Pm8 0.9333 0.0667 0.2500
Zn1 0.1272 0.8728 0.2500
Zn2 0.8728 0.1272 0.7500
Hg1 0.3797 0.6203 0.2500
Hg2 0.6203 0.3797 0.7500
O1 0.2499 0.7501 0.7500
O2 0.7501 0.2499 0.2500

Computed properties:
Space-group type: Cmcm (63)
DOS at the Fermi energy in states/eV/atom: 0.337
Total magnetic moment in μB/f.u.: 0.00
Total DFT energy (no corrections) in eV per atom: -4.632
Mass density in g/cm³: 7.94